Record 1
First-principles (PBE) data for an optimized crystal structure of DyHo2Si3Pt4, as listed in Alexandria via LeMat-Bulk.

Unit cell a=4.158 b=4.158 c=11.053 alpha=90.00 beta=90.00 gamma=90.00
Sites, in units of the cell vectors:
Dy (0.000, 0.000, 0.000)
Ho (0.000, 0.500, 0.723)
Ho (0.500, 0.000, 0.277)
Si (0.000, 0.500, 0.377)
Si (0.500, 0.000, 0.623)
Si (0.500, 0.500, 0.000)
Pt (0.000, 0.000, 0.500)
Pt (0.000, 0.500, 0.164)
Pt (0.500, 0.000, 0.836)
Pt (0.500, 0.500, 0.500)

Properties
Energy = -6.4629 eV/atom
Formation energy without anion corrections = -1.044 eV/atom

=====

Record 2
First-principles (PBE) data for an optimized crystal structure of Ba2CrMoPd, as listed in Alexandria via LeMat-Bulk.

Unit cell a=6.021 b=6.021 c=4.798 alpha=90.00 beta=90.00 gamma=90.00
Sites, in units of the cell vectors:
Ba (0.000, 0.500, 0.000)
Ba (0.500, 0.000, 0.000)
Cr (0.000, 0.000, 0.500)
Mo (0.500, 0.500, 0.000)
Pd (0.500, 0.500, 0.500)

Properties
Energy = -4.8569 eV/atom

=====

Record 3
First-principles (PBE) data for an optimized crystal structure of LaSm2H, as listed in Alexandria via LeMat-Bulk.

Unit cell a=3.399 b=3.399 c=8.866 alpha=90.00 beta=90.00 gamma=90.00
Sites, in units of the cell vectors:
La (0.000, 0.000, 0.000)
Sm (0.500, 0.500, 0.319)
Sm (0.500, 0.500, 0.681)
H (0.000, 0.000, 0.500)

Properties
Energy = -4.3083 eV/atom
Energy above the most stable polymorph in this dataset = 276 meV/atom

=====

Record 4
First-principles (PBE) data for an optimized crystal structure of NdHo4As5, as listed in Alexandria via LeMat-Bulk.

Unit cell a=7.160 b=7.160 c=10.133 alpha=118.13 beta=118.13 gamma=33.60
Sites, in units of the cell vectors:
Nd (0.000, 0.000, 0.000)
Ho (0.201, 0.201, 0.797)
Ho (0.402, 0.402, 0.601)
Ho (0.598, 0.598, 0.399)
Ho (0.799, 0.799, 0.203)
As (0.000, 0.000, 0.500)
As (0.202, 0.202, 0.306)
As (0.396, 0.396, 0.103)
As (0.604, 0.604, 0.897)
As (0.798, 0.798, 0.694)

Properties
Energy = -6.1509 eV/atom

=====

Record 5
First-principles (PBE) data for an optimized crystal structure of CeNp4O10, as listed in Alexandria via LeMat-Bulk.

Unit cell a=15.775 b=15.775 c=15.775 alpha=13.92 beta=13.92 gamma=13.92
Sites, in units of the cell vectors:
Ce (0.000, 0.000, 0.000)
Np (0.200, 0.200, 0.200)
Np (0.401, 0.401, 0.401)
Np (0.599, 0.599, 0.599)
Np (0.800, 0.800, 0.800)
O (0.052, 0.052, 0.052)
O (0.150, 0.150, 0.150)
O (0.249, 0.249, 0.249)
O (0.352, 0.352, 0.352)
O (0.450, 0.450, 0.450)
O (0.550, 0.550, 0.550)
O (0.648, 0.648, 0.648)
O (0.751, 0.751, 0.751)
O (0.850, 0.850, 0.850)
O (0.948, 0.948, 0.948)

Properties
Energy = -10.3494 eV/atom
Formation energy without anion corrections = -3.197 eV/atom

=====

Record 6
First-principles (PBE) data for an optimized crystal structure of Ac2SmTl4, as listed in Alexandria via LeMat-Bulk.

Unit cell a=8.672 b=8.672 c=8.672 alpha=142.21 beta=142.21 gamma=54.51
Sites, in units of the cell vectors:
Ac (0.243, 0.243, 0.000)
Ac (0.757, 0.757, 0.000)
Sm (0.500, 0.500, 0.000)
Tl (0.106, 0.606, 0.500)
Tl (0.394, 0.894, 0.500)
Tl (0.606, 0.106, 0.500)
Tl (0.894, 0.394, 0.500)

Properties
Energy = -3.4235 eV/atom

=====

Record 7
First-principles (PBE) data for an optimized crystal structure of Ac3Ag3Bi4, as listed in Alexandria via LeMat-Bulk.

Unit cell a=9.260 b=9.260 c=9.260 alpha=109.47 beta=109.47 gamma=109.47
Sites, in units of the cell vectors:
Ac (0.125, 0.750, 0.875)
Ac (0.250, 0.625, 0.375)
Ac (0.375, 0.250, 0.625)
Ac (0.625, 0.375, 0.250)
Ac (0.750, 0.875, 0.125)
Ac (0.875, 0.125, 0.750)
Ag (0.125, 0.875, 0.250)
Ag (0.250, 0.125, 0.875)
Ag (0.375, 0.625, 0.750)
Ag (0.625, 0.750, 0.375)
Ag (0.750, 0.375, 0.625)
Ag (0.875, 0.250, 0.125)
Bi (0.000, 0.332, 0.500)
Bi (0.000, 0.832, 0.500)
Bi (0.168, 0.168, 0.168)
Bi (0.332, 0.500, 0.000)
Bi (0.500, 0.000, 0.332)
Bi (0.500, 0.000, 0.832)
Bi (0.668, 0.668, 0.668)
Bi (0.832, 0.500, 0.000)

Properties
Energy = -4.2779 eV/atom